Arrangement P

## Li2Al2Zn (PBE)

Data for crystalline Li2Al2Zn at its relaxed geometry.

Results
ρ ... 2.54 g/cm³
Spin magnetization ... 0.00 Bohr magnetons per cell
DOS(E_F) ... 1.311 states/eV/f.u.

Unit cell a=3.586 b=3.586 c=13.570 alpha=90.00 beta=90.00 gamma=90.00
Space group I4/mmm (No. 139)
Symmetry-distinct sites (fractional):
Li: 0.000 0.500 0.250 [4 per cell]
Al: 0.000 0.000 0.095 [4 per cell]
Zn: 0.000 0.000 0.500 [2 per cell]

Arrangement Q

## Li2Al2Zn (PBE)

Data for crystalline Li2Al2Zn at its relaxed geometry.

Results
ρ ... 2.49 g/cm³
Spin magnetization ... 0.00 Bohr magnetons per cell
DOS(E_F) ... 1.087 states/eV/f.u.

Unit cell a=5.953 b=11.975 c=4.992 alpha=90.00 beta=90.00 gamma=90.00
Space group Ibam (No. 72)
Symmetry-distinct sites (fractional):
Li: 0.195 0.181 0.000 [8 per cell]
Al: 0.145 0.419 0.000 [8 per cell]
Zn: 0.000 0.000 0.250 [4 per cell]

Which of them is least stable? Easy: arrangement P.